No. 1
A relaxed Tb2Dy3Ru2 crystal. Source: Alexandria, functional PBE-GGA.

Calculated values
energy of formation from the pure elements = -2.30 eV per formula unit
crystal system = monoclinic

a = 3.875 Å, b = 6.269 Å, c = 8.564 Å
α = 112.75°, β = 90.00°, γ = 108.00°
Atoms (fractional coordinates):
Tb: 0.835 0.670 0.191
Tb: 0.165 0.330 0.809
Dy: 0.500 0.000 0.000
Dy: 0.621 0.243 0.428
Dy: 0.379 0.757 0.572
Ru: 0.821 0.642 0.776
Ru: 0.179 0.358 0.224

No. 2
A relaxed Na2Ni2I crystal. Source: Alexandria, functional PBE-GGA.

Calculated values
energy relative to the elements, uncorrected = 0.036 eV per atom
crystal system = tetragonal

a = 3.539 Å, b = 3.539 Å, c = 9.299 Å
α = 79.03°, β = 79.03°, γ = 90.00°
Site moments in Bohr magnetons follow the coordinates.
Atoms (fractional coordinates):
I: 0.000 0.000 0.000  -0.01
Ni: 0.750 0.250 0.500  0.71
Ni: 0.250 0.750 0.500  0.71
Na: 0.389 0.389 0.223  -0.01
Na: 0.611 0.611 0.777  -0.01

No. 3
A relaxed ScRu2I crystal. Source: Alexandria, functional PBE-GGA.

Calculated values
energy relative to the elements, uncorrected = 0.285 eV per atom
crystal system = cubic

a = 4.617 Å, b = 4.617 Å, c = 4.617 Å
α = 60.00°, β = 60.00°, γ = 60.00°
Site moments in Bohr magnetons follow the coordinates.
Atoms (fractional coordinates):
I: 0.500 0.500 0.500  0.06
Ru: 0.250 0.250 0.250  0.67
Ru: 0.750 0.750 0.750  0.67
Sc: 0.000 0.000 0.000  -0.07

Question: What is the formula in the third record?
Answer: ScRu2I